# 1
KNdGaTe3 | PBE-GGA | relaxed

Its crystal system is monoclinic. As for the density of states at the Fermi level: 1.80 states/eV/f.u. For the formation energy without anion corrections, the calculation gives -5.77 eV per formula unit.

It has space group P2_1/m (No. 11), with a = 9.570 Å, b = 4.770 Å, c = 10.555 Å, α = 90.00°, β = 104.92° and γ = 90.00°. The inequivalent atoms are K at (0.195, 0.250, 0.230), Nd at (0.338, 0.750, 0.862), Ga at (0.093, 0.250, 0.598), Te at (0.107, 0.250, 0.859), Te at (0.211, 0.750, 0.538) and Te at (0.449, 0.750, 0.168).



# 2
CsLaO2 | PBE-GGA | relaxed

Its crystal system is tetragonal. As for the density of states at the Fermi level: 0.00 states/eV/f.u. For the formation energy without anion corrections, the calculation gives -6.55 eV per formula unit.

It has space group P4/mmm (No. 123), with a = 4.619 Å, b = 4.619 Å, c = 3.372 Å, α = 90.00°, β = 90.00° and γ = 90.00°. The inequivalent atoms are Cs at (0.000, 0.000, 0.000), La at (0.500, 0.500, 0.000) and O at (0.000, 0.500, 0.500).



# 3
TlInGe2 | PBE-GGA | relaxed

Its crystal system is tetragonal. As for the energy above the most stable polymorph in this dataset: 0.40 eV per formula unit. As for the density of states at the Fermi level: 2.44 states/eV/f.u. The calculation puts the formation energy at 36.02 kJ/mol of atoms.

It has space group I-42d (No. 122), with a = 6.318 Å, b = 6.318 Å, c = 12.524 Å, α = 90.00°, β = 90.00° and γ = 90.00°. The inequivalent atoms are Tl at (0.000, 0.000, 0.000), In at (0.000, 0.000, 0.500) and Ge at (0.241, 0.250, 0.625).



# 4
CuSO | PBE-GGA | relaxed

Its crystal system is monoclinic. As for the density of states at the Fermi level: 2.01 states/eV/f.u. For the formation energy without anion corrections, the calculation gives -0.72 eV per formula unit.

It has space group C2/m (No. 12), with a = 5.558 Å, b = 6.262 Å, c = 5.277 Å, α = 90.00°, β = 102.30° and γ = 90.00°. The inequivalent atoms are Cu at (0.227, 0.000, 0.238), S at (0.152, 0.500, 0.335) and O at (0.149, 0.000, 0.850).



# 5
Ba2LiCo2 | PBE-GGA | relaxed

Its crystal system is tetragonal. As for the energy above the most stable polymorph in this dataset: 1.01 eV per formula unit. As for the density of states at the Fermi level: 6.64 states/eV/f.u. The calculation puts the formation energy at 59.59 kJ/mol of atoms.

It has space group P4/mbm (No. 127), with a = 9.181 Å, b = 9.181 Å, c = 3.701 Å, α = 90.00°, β = 90.00° and γ = 90.00°. The inequivalent atoms are Ba at (0.184, 0.316, 0.000), Li at (0.000, 0.000, 0.000) and Co at (0.083, 0.583, 0.500).



# 6
CePm7Ga4 | PBE-GGA | relaxed

Its crystal system is monoclinic. As for the density of states at the Fermi level: 13.59 states/eV/f.u. The calculation puts the formation energy at -19.24 kJ/mol of atoms.

It has space group C2/m (No. 12), with a = 13.929 Å, b = 5.540 Å, c = 10.484 Å, α = 90.00°, β = 123.77° and γ = 90.00°. The inequivalent atoms are Ce at (0.000, 0.000, 0.000), Pm at (0.000, 0.500, 0.000), Pm at (0.066, 0.000, 0.390), Pm at (0.205, 0.000, 0.882), Pm at (0.208, 0.500, 0.649), Ga at (0.053, 0.500, 0.756) and Ga at (0.177, 0.500, 0.331).



# 7
Cr2OsAuBr | PBE-GGA | relaxed

Its crystal system is tetragonal. As for the density of states at the Fermi level: 3.91 states/eV/f.u. For the formation energy without anion corrections, the calculation gives 6.12 eV per formula unit.

It has space group P4/mmm (No. 123), with a = 4.842 Å, b = 4.842 Å, c = 4.833 Å, α = 90.00°, β = 90.00° and γ = 90.00°. The inequivalent atoms are Cr at (0.000, 0.500, 0.000), Os at (0.000, 0.000, 0.000), Au at (0.500, 0.500, 0.500) and Br at (0.000, 0.000, 0.500).



# 8
HfTa2P | PBE-GGA | relaxed

Its crystal system is tetragonal. As for the density of states at the Fermi level: 4.01 states/eV/f.u. The calculation puts the formation energy at 8.19 kJ/mol of atoms.

It has space group I-42d (No. 122), with a = 3.881 Å, b = 3.881 Å, c = 19.884 Å, α = 90.00°, β = 90.00° and γ = 90.00°. The inequivalent atoms are Hf at (0.000, 0.000, 0.000), Ta at (0.241, 0.250, 0.625) and P at (0.000, 0.000, 0.500).